Record 1
A relaxed structure of Mg3Zr. Source: the Alexandria database, functional GGA-PBE.

abc: 4.4555 4.4555 4.4555
angles: 90.00 90.00 90.00
Closest atoms and distances in Å follow each position.
Space group Pm-3m (No. 221)
Asymmetric unit:
Mg: 0.0000 0.0000 0.5000 [3 per cell]  4 Zr 3.15, 8 Mg 3.15
Zr: 0.5000 0.5000 0.5000 [1 per cell]  12 Mg 3.15

## Properties
uncorrected energy	-13.209	eV per formula unit
energy relative to the elements	0.031	eV/atom
D(E_F)	0.899	states/eV per atom

---

Record 2
A relaxed structure of InCu2Br. Source: the Alexandria database, functional GGA-PBE.

abc: 6.9667 6.9667 6.9667
angles: 90.00 90.00 90.00
Closest atoms and distances in Å follow each position.
Space group F-43m (No. 216)
Asymmetric unit:
In: 0.0000 0.0000 0.0000 [4 per cell]  4 Cu 3.02, 4 Br 3.02
Cu: 0.0000 0.0000 0.5000 [4 per cell]  4 Br 3.02, 4 Cu 3.02
Cu: 0.2500 0.2500 0.7500 [4 per cell]  4 In 3.02, 4 Cu 3.02
Br: 0.2500 0.2500 0.2500 [4 per cell]  4 In 3.02, 4 Cu 3.02

## Properties
uncorrected energy	-10.457	eV per formula unit
D(E_F)	0.293	states/eV per atom
raw formation energy	537	meV per atom
distance to the lowest polymorph of the same formula	536	meV/atom

---

Record 3
A relaxed structure of CaZnW2. Source: the Alexandria database, functional GGA-PBE.

abc: 2.7517 3.9757 6.9673
angles: 90.00 90.00 90.00
Closest atoms and distances in Å follow each position.
Space group Pmm2 (No. 25)
Asymmetric unit:
Ca: 0.0000 0.0000 0.0000 [1 per cell]  2 Ca 2.75
Zn: 0.5000 0.5000 0.7171 [1 per cell]  2 Zn 2.75, 5 W 2.81-2.82
W: 0.0000 0.0000 0.5094 [1 per cell]  6 W 2.75-2.78, 4 Zn 2.82
W: 0.5000 0.5000 0.3135 [1 per cell]  6 W 2.75-2.78, 1 Zn 2.81

## Properties
uncorrected energy	-27.155	eV per formula unit
energy relative to the elements	0.507	eV/atom
D(E_F)	0.656	states/eV per atom

---

Record 4
A relaxed structure of BaTl2Bi. Source: the Alexandria database, functional GGA-PBE.

abc: 5.0981 5.0981 5.4024
angles: 90.00 90.00 90.00
Closest atoms and distances in Å follow each position.
Space group P4/mmm (No. 123)
Asymmetric unit:
Ba: 0.0000 0.0000 0.0000 [1 per cell]  4 Bi 3.60, 8 Tl 3.71
Tl: 0.0000 0.5000 0.5000 [2 per cell]  4 Tl 3.60, 4 Ba 3.71, 4 Bi 3.71
Bi: 0.5000 0.5000 0.0000 [1 per cell]  4 Ba 3.60, 8 Tl 3.71

## Properties
uncorrected energy	-12.219	eV per formula unit
energy relative to the elements	-0.421	eV/atom
D(E_F)	0.306	states/eV per atom

---

Record 5
A relaxed structure of LiSnCl4. Source: the Alexandria database, functional GGA-PBE.

abc: 6.7691 6.8562 8.1166
angles: 90.00 90.00 90.00
Closest atoms and distances in Å follow each position.
Space group P222 (No. 16)
Asymmetric unit:
Li: 0.0000 0.0000 0.0000 [1 per cell]  4 Cl 2.38
Li: 0.5000 0.0000 0.5000 [1 per cell]  4 Cl 2.45
Sn: 0.0000 0.0000 0.5000 [1 per cell]  4 Cl 2.39
Sn: 0.0000 0.5000 0.0000 [1 per cell]  4 Cl 2.74
Cl: 0.1916 0.2112 0.1695 [4 per cell]  1 Li 2.38
Cl: 0.2439 0.2203 0.6045 [4 per cell]  1 Sn 2.39, 1 Li 2.45

## Properties
uncorrected energy	-19.904	eV per formula unit
raw formation energy	-1100	meV per atom

---

Record 6
A relaxed structure of BaSbAs2Au. Source: the Alexandria database, functional GGA-PBE.

abc: 5.7646 5.7646 6.3718
angles: 90.00 90.00 90.00
Closest atoms and distances in Å follow each position.
Space group P4/mmm (No. 123)
Asymmetric unit:
Ba: 0.0000 0.0000 0.0000 [1 per cell]  4 As 2.88, 2 Sb 3.19
Sb: 0.0000 0.0000 0.5000 [1 per cell]  2 Ba 3.19
As: 0.0000 0.5000 0.0000 [2 per cell]  2 Ba 2.88
Au: 0.5000 0.5000 0.5000 [1 per cell]  4 Sb 4.08, 8 As 4.30

## Properties
uncorrected energy	-11.913	eV per formula unit
D(E_F)	1.436	states/eV per atom
raw formation energy	1342	meV per atom

---

> What is the formula in the second record?

InCu2Br

---

> The highest uncorrected energy belongs to which entry?

InCu2Br

---

> The lowest uncorrected energy belongs to which entry?

CaZnW2